LiGa2As2 | GGA-PBE | relaxed

Cell: 5.708 5.708 5.708 Å, 130.19 130.19 73.11°
Atoms (fractional coordinates):
Li  0.000  0.000  0.000
Ga  0.367  0.367  0.000
Ga  0.633  0.633  0.000
As  0.250  0.750  0.500
As  0.750  0.250  0.500

Calculated values
As for the space group: No. 139. The value obtained for the formation energy is -0.12 eV per atom. The value obtained for the total energy is -3.572 eV per atom. For the density of states at the Fermi level, the calculation gives 0.307 states/eV per atom. The calculation puts the energy relative to the lowest polymorph listed for this composition at 0.0 meV per atom.